Compound: K3Y3TaSe8
Source: Alexandria
Functional: PBE
Structure: optimized geometry

a b c (Å): 8.1596 8.1606 9.1742
angles (deg): 116.42 90.00 120.00
Last column: magnetic moment on the atom in μB.
Sites, in units of the cell vectors:
Y 0.5000 0.5000 0.5000  0.03
Y 0.0000 0.5000 0.5000  0.03
Y 0.5000 0.0000 0.5000  0.03
Se 0.2201 0.4402 0.6949  -0.01
Se 0.2451 0.0251 0.3052  -0.01
Se 0.2200 0.9750 0.6948  -0.01
Se 0.2642 0.5284 0.2927  0.00
Se 0.7358 0.4716 0.7073  0.00
Se 0.7799 0.5598 0.3051  -0.01
Se 0.7549 0.9749 0.6948  -0.01
Se 0.7800 0.0250 0.3052  -0.01
K 0.0000 0.0000 0.0000  0.00
K 0.5000 0.5000 0.0000  0.00
K 0.0000 0.5000 0.0000  0.00
Ta 0.0000 0.0000 0.5000  0.62

Values from the calculation:
total energy: -85.1 eV per cell
SG: R-3m, No. 166
energy relative to the elements, uncorrected: -1.514 eV/atom